No. 1
Density functional theory data (meta-GGA SCAN) for CaMgIn2 at its PBEsol-relaxed geometry.

```
4
Lattice="-4.411 2.697 -0.712 -4.389 -2.483 -1.346 -3.908 -0.437 3.431" Properties=species:S:1:pos:R:3 pbc="T T T"
In 0.000 0.000 0.000
In -9.531 -0.167 1.031
Ca -6.354 -0.111 0.687
Mg -3.177 -0.056 0.344
```

Output
DOS(E_F) in states/eV per atom: 0.378
Density in Mg/m³: 4.86
Energy of formation from the pure elements in eV per atom: -0.253
Space group: F-43m
Size of the total moment in Bohr magnetons per cell: 0.000



No. 2
Density functional theory data (meta-GGA SCAN) for MnP2F at its PBEsol-relaxed geometry.

```
8
Lattice="-1.861 1.685 4.357 -3.161 -3.909 0.162 6.089 -1.674 0.346" Properties=species:S:1:pos:R:3 pbc="T T T"
P 1.265 -2.847 3.093
F -2.511 -1.112 2.260
P -1.388 -0.322 4.185
Mn 0.000 0.000 0.000
F 0.859 -0.550 3.482
P -1.845 -3.294 1.637
P 4.103 -1.331 0.816
Mn 0.209 -3.347 1.384
```

Output
Formation energy (no corrections) in meV per atom: -87
DOS(E_F) in states/eV per atom: 0.329
Density in Mg/m³: 3.41
Space group: I-42d
Size of the total moment in Bohr magnetons per cell: 0.000



No. 3
Density functional theory data (meta-GGA SCAN) for BiAuS2Cl at its PBEsol-relaxed geometry.

```
5
Lattice="-4.551 2.139 1.177 -1.334 -4.263 2.593 2.045 1.980 4.308" Properties=species:S:1:pos:R:3 pbc="T T T"
Bi 0.000 0.000 0.000
Au -1.920 -0.071 4.039
Cl 1.022 0.990 2.154
S -2.275 1.070 0.588
S -0.667 -2.131 1.296
```

Output
Formation energy (no corrections) in meV per atom: 613
DOS(E_F) in states/eV per atom: 0.448
Density in Mg/m³: 6.10
Space group: P4/mmm
Size of the total moment in Bohr magnetons per cell: 0.000



No. 4
Density functional theory data (meta-GGA SCAN) for AgSeBr2 at its PBEsol-relaxed geometry.

```
4
Lattice="5.142 0.072 0.102 -2.334 4.562 -0.171 -2.334 -1.697 4.238" Properties=species:S:1:pos:R:3 pbc="T T T"
Se 0.237 1.469 2.085
Br -1.167 -0.848 2.119
Br -1.167 2.281 -0.086
Ag 2.571 0.036 0.051
```

Output
Formation energy (no corrections) in meV per atom: 33
DOS(E_F) in states/eV per atom: 0.267
Density in Mg/m³: 5.75
Space group: C2/m
Size of the total moment in Bohr magnetons per cell: 0.000



No. 5
Density functional theory data (meta-GGA SCAN) for NiTeRu at its PBEsol-relaxed geometry.

```
3
Lattice="-0.680 -2.444 -3.317 3.213 -1.835 -1.935 0.538 -4.129 0.304" Properties=species:S:1:pos:R:3 pbc="T T T"
Ni 1.536 -4.204 -2.474
Te 0.000 0.000 0.000
Ru 0.768 -2.102 -1.237
```

Output
Formation energy (no corrections) in meV per atom: 118
DOS(E_F) in states/eV per atom: 0.717
Density in Mg/m³: 9.27
Space group: F-43m
Size of the total moment in Bohr magnetons per cell: 0.000



No. 6
Density functional theory data (meta-GGA SCAN) for BaAg2W at its PBEsol-relaxed geometry.

```
4
Lattice="2.978 0.000 0.000 0.000 5.332 0.000 0.000 0.000 5.332" Properties=species:S:1:pos:R:3 pbc="T T T"
Ba 1.489 2.666 2.666
Ag 0.000 2.666 0.000
Ag 0.000 0.000 2.666
W 1.489 0.000 0.000
```

Output
DOS(E_F) in states/eV per atom: 0.781
Density in Mg/m³: 10.53
Energy of formation from the pure elements in eV per atom: 0.994
Space group: P4/mmm
Size of the total moment in Bohr magnetons per cell: 1.488



No. 7
Density functional theory data (meta-GGA SCAN) for TlSb2Os at its PBEsol-relaxed geometry.

```
4
Lattice="3.161 0.000 0.000 0.000 3.161 0.000 0.000 0.000 9.279" Properties=species:S:1:pos:R:3 pbc="T T T"
Sb 0.000 0.000 2.936
Os 1.581 1.581 4.640
Sb 0.000 0.000 6.343
Tl 1.581 1.581 0.000
```

Output
Formation energy (no corrections) in meV per atom: 249
DOS(E_F) in states/eV per atom: 0.701
Density in Mg/m³: 11.43
Space group: P4/mmm
Size of the total moment in Bohr magnetons per cell: 0.000



No. 8
Density functional theory data (meta-GGA SCAN) for KTlCl2 at its PBEsol-relaxed geometry.

```
4
Lattice="-3.783 -0.729 -2.199 2.036 -3.056 -2.489 -1.560 -4.419 4.149" Properties=species:S:1:pos:R:3 pbc="T T T"
Cl -1.869 -4.568 -0.846
Cl -0.216 -0.467 -0.578
Tl -0.996 -2.678 1.494
K -1.089 -2.359 -2.921
```

Output
Formation energy (no corrections) in meV per atom: -1629
DOS(E_F) in states/eV per atom: 0.000
Density in Mg/m³: 4.24
Space group: P4/mmm
Size of the total moment in Bohr magnetons per cell: 0.000



No. 9
Density functional theory data (meta-GGA SCAN) for FeNi at its PBEsol-relaxed geometry.

```
4
Lattice="3.496 0.000 0.000 0.000 3.496 0.000 -1.748 -1.748 3.527" Properties=species:S:1:pos:R:3 pbc="T T T"
Ni 1.748 0.000 1.763
Fe 0.000 1.748 1.763
Ni 1.748 1.748 0.000
Fe 0.000 0.000 0.000
```

Output
DOS(E_F) in states/eV per atom: 0.765
Density in Mg/m³: 8.83
Energy of formation from the pure elements in eV per atom: -0.102
Space group: I4_1/amd
Size of the total moment in Bohr magnetons per cell: 7.174



No. 10
Density functional theory data (meta-GGA SCAN) for AlHSe2 at its PBEsol-relaxed geometry.

```
4
Lattice="-3.611 0.217 0.993 -2.105 -3.103 0.109 -0.321 -1.828 6.315" Properties=species:S:1:pos:R:3 pbc="T T T"
Se -0.770 -1.583 4.631
H 0.000 0.000 0.000
Se -5.267 -3.131 2.786
Al -3.018 -2.357 3.709
```

Output
Final energy in eV per atom: -13.369
DOS(E_F) in states/eV per atom: 0.000
Density in Mg/m³: 4.08
Space group: R-3m
Size of the total moment in Bohr magnetons per cell: 0.000



No. 11
Density functional theory data (meta-GGA SCAN) for BaSr2Cu at its PBEsol-relaxed geometry.

```
4
Lattice="3.870 0.082 0.000 -0.082 3.870 0.000 0.000 0.000 10.261" Properties=species:S:1:pos:R:3 pbc="T T T"
Sr 0.000 0.000 1.763
Ba 1.894 1.976 5.130
Cu 1.894 1.976 0.000
Sr 0.000 0.000 8.498
```

Output
DOS(E_F) in states/eV per atom: 0.954
Density in Mg/m³: 4.06
Energy of formation from the pure elements in eV per atom: 0.065
Space group: P4/mmm
Size of the total moment in Bohr magnetons per cell: 0.002



No. 12
Density functional theory data (meta-GGA SCAN) for MgCd2Mo at its PBEsol-relaxed geometry.

```
4
Lattice="4.108 0.000 0.000 0.000 4.108 0.000 -2.054 -2.054 4.321" Properties=species:S:1:pos:R:3 pbc="T T T"
Mo 0.000 2.054 2.160
Cd 2.054 0.000 2.160
Mg 2.054 2.054 0.000
Cd 0.000 0.000 0.000
```

Output
DOS(E_F) in states/eV per atom: 0.680
Density in Mg/m³: 7.86
Energy of formation from the pure elements in eV per atom: 0.427
Space group: I-4m2
Size of the total moment in Bohr magnetons per cell: 0.001